DFT (GGA-PBE) results for PmBeCdAg after structural relaxation.

Cell lengths 6.8688, 6.8688, 6.8688 Å; angles 90.00, 90.00, 90.00 degrees
Space group F-43m (No. 216)
Asymmetric unit:
Pm1 0.0000 0.0000 0.0000
Be1 0.2500 0.2500 0.7500
Cd1 0.0000 0.0000 0.5000
Ag1 0.2500 0.2500 0.2500

Electronic total energy   -3.10 eV per atom
Formation energy from the elements   -0.036 eV per atom